[1]
VASP calculation (PBE) on an optimized crystal structure of Na2CBr.

Output
- total magnetization (μB/cell) = 12.0

Cell: 7.061 7.061 7.061 Å, 90.00 90.00 90.00°
Space group Fm-3m (No. 225)
Asymmetric unit:
Na 0.250 0.250 0.250 (multiplicity 8)
C 0.000 0.000 0.000 (multiplicity 4)
Br 0.000 0.000 0.500 (multiplicity 4)

=====

[2]
VASP calculation (PBE) on an optimized crystal structure of NaC2Br.

Output
- total magnetization (μB/cell) = 0.0

Cell: 5.889 5.889 7.255 Å, 90.00 90.00 90.00°
Space group I-42d (No. 122)
Asymmetric unit:
Na 0.000 0.000 0.000 (multiplicity 4)
C 0.176 0.250 0.625 (multiplicity 8)
Br 0.000 0.000 0.500 (multiplicity 4)

=====

[3]
VASP calculation (PBE) on an optimized crystal structure of Na2CBr.

Output
- total magnetization (μB/cell) = 12.0

Cell: 7.059 7.059 8.939 Å, 90.00 90.00 90.00°
Space group I-42d (No. 122)
Asymmetric unit:
Na 0.216 0.250 0.125 (multiplicity 8)
C 0.000 0.000 0.000 (multiplicity 4)
Br 0.000 0.000 0.500 (multiplicity 4)

=====

[4]
VASP calculation (PBE) on an optimized crystal structure of NaCBrO2.

Output
- total magnetization (μB/cell) = 0.0

Cell: 5.833 5.890 7.017 Å, 90.00 112.65 90.00°
Space group P2_1/m (No. 11)
Asymmetric unit:
Na 0.250 0.250 0.001 (multiplicity 2)
C 0.246 0.250 0.501 (multiplicity 2)
Br 0.251 0.750 0.001 (multiplicity 2)
O 0.124 0.250 0.601 (multiplicity 2)
O 0.368 0.250 0.401 (multiplicity 2)

=====

[5]
VASP calculation (PBE) on an optimized crystal structure of Rb2NaCBr6.

Output
- total magnetization (μB/cell) = 0.0

Cell: 10.729 10.729 10.729 Å, 90.00 90.00 90.00°
Space group Fm-3m (No. 225)
Asymmetric unit:
Rb 0.250 0.250 0.250 (multiplicity 8)
Na 0.000 0.000 0.000 (multiplicity 4)
C 0.000 0.000 0.500 (multiplicity 4)
Br 0.000 0.000 0.272 (multiplicity 24)

=====

[6]
VASP calculation (PBE) on an optimized crystal structure of NaCSeBr2.

Output
- total magnetization (μB/cell) = 0.0

Cell: 5.525 5.525 3.979 Å, 90.00 90.00 90.00°
Space group P4/mmm (No. 123)
Asymmetric unit:
Na 0.000 0.000 0.000 (multiplicity 1)
C 0.500 0.500 0.500 (multiplicity 1)
Se 0.500 0.500 0.000 (multiplicity 1)
Br 0.000 0.500 0.500 (multiplicity 2)

=====

| no. | formation energy from raw total energies (eV per atom) |
| --- | --- |
| 1 | 0.546 |
| 2 | 2.305 |
| 3 | 0.500 |
| 4 | -1.378 |
| 5 | -0.477 |
| 6 | 0.438 |